First-principles (PBE) data for an optimized crystal structure of CaMgAs, as listed in the Alexandria database.

a = 4.881 Å, b = 4.881 Å, c = 4.881 Å
α = 60.00°, β = 60.00°, γ = 60.00°
Fractional coordinates of all 3 atoms:
Ca  0.000  0.000  0.000
Mg  0.750  0.750  0.750
As  0.250  0.250  0.250

The symmetry is F-43m (216). The calculation puts the relative energy among the computed polymorphs at 1.29 eV/f.u. The calculated total energy is -2.9758 eV per atom. The volume is 82.2 Å³ per cell. Its total magnetization is 0.00 μB/atom. The formation energy from the elements comes out at -227 meV/atom.

***

First-principles (PBE) data for an optimized crystal structure of DySiI, as listed in the Alexandria database.

a = 4.121 Å, b = 4.121 Å, c = 12.320 Å
α = 100.01°, β = 100.01°, γ = 59.97°
Fractional coordinates of all 6 atoms:
Dy  0.054  0.054  0.155
Dy  0.946  0.946  0.845
Si  0.336  0.336  0.008
Si  0.664  0.664  0.992
I  0.220  0.220  0.675
I  0.780  0.780  0.325

The symmetry is C2/m (12). The calculated total energy is -4.8773 eV per atom. The volume is 177.4 Å³ per cell. The uncorrected formation energy is -1.019 eV/atom. Its total magnetization is 0.00 μB/atom.

***

First-principles (PBE) data for an optimized crystal structure of TcAgPt, as listed in the Alexandria database.

a = 2.789 Å, b = 2.789 Å, c = 7.057 Å
α = 90.00°, β = 90.00°, γ = 120.00°
Fractional coordinates of all 3 atoms:
Tc  0.000  0.000  0.000
Ag  0.333  0.667  0.344
Pt  0.667  0.333  0.693

The symmetry is P3m1 (156). The calculation puts the relative energy among the computed polymorphs at 0.66 eV/f.u. The calculated total energy is -6.2659 eV per atom. The volume is 47.5 Å³ per cell. Its total magnetization is 0.00 μB/atom. The formation energy from the elements comes out at 153 meV/atom.

***

First-principles (PBE) data for an optimized crystal structure of BeP2Pb, as listed in the Alexandria database.

a = 5.257 Å, b = 5.257 Å, c = 5.618 Å
α = 111.01°, β = 111.01°, γ = 39.08°
Fractional coordinates of all 4 atoms:
Be  0.000  0.000  0.000
P  0.371  0.371  0.919
P  0.629  0.629  0.081
Pb  0.500  0.500  0.500

The symmetry is C2/m (12). The calculated total energy is -4.3099 eV per atom. The volume is 90.5 Å³ per cell. Its total magnetization is 0.00 μB/atom. The formation energy from the elements comes out at 254 meV/atom.

***

First-principles (PBE) data for an optimized crystal structure of AcPm10Sm4, as listed in the Alexandria database.

a = 9.723 Å, b = 9.723 Å, c = 9.723 Å
α = 97.28°, β = 97.28°, γ = 138.29°
Fractional coordinates of all 15 atoms:
Ac  0.000  0.000  0.000
Pm  0.044  0.621  0.163
Pm  0.119  0.956  0.577
Pm  0.250  0.750  0.500
Pm  0.379  0.543  0.423
Pm  0.457  0.881  0.837
Pm  0.543  0.119  0.163
Pm  0.621  0.457  0.577
Pm  0.750  0.250  0.500
Pm  0.881  0.044  0.423
Pm  0.956  0.379  0.837
Sm  0.320  0.433  0.754
Sm  0.433  0.680  0.113
Sm  0.567  0.320  0.887
Sm  0.680  0.567  0.246

The symmetry is I4/m (87). The calculated total energy is -4.2222 eV per atom. The volume is 571.4 Å³ per cell. Its total magnetization is 0.00 μB/atom. The formation energy from the elements comes out at 477 meV/atom.

***

First-principles (PBE) data for an optimized crystal structure of NaSrNpI6, as listed in the Alexandria database.

a = 8.032 Å, b = 8.032 Å, c = 14.493 Å
α = 90.00°, β = 90.00°, γ = 120.00°
Fractional coordinates of all 18 atoms:
Na  0.333  0.667  0.250
Na  0.667  0.333  0.750
Sr  0.000  0.000  0.000
Sr  0.000  0.000  0.500
Np  0.333  0.667  0.750
Np  0.667  0.333  0.250
I  0.011  0.351  0.627
I  0.011  0.660  0.873
I  0.340  0.351  0.873
I  0.340  0.989  0.627
I  0.351  0.011  0.127
I  0.351  0.340  0.373
I  0.649  0.660  0.627
I  0.649  0.989  0.873
I  0.660  0.011  0.373
I  0.660  0.649  0.127
I  0.989  0.340  0.127
I  0.989  0.649  0.373

The symmetry is P-31c (163). The calculated total energy is -3.9993 eV per atom. The volume is 809.8 Å³ per cell. The uncorrected formation energy is -1.195 eV/atom. Its total magnetization is 0.44 μB/atom.

***

First-principles (PBE) data for an optimized crystal structure of LiYP2, as listed in the Alexandria database.

a = 3.220 Å, b = 3.220 Å, c = 7.316 Å
α = 90.00°, β = 90.00°, γ = 90.00°
Fractional coordinates of all 4 atoms:
Li  0.000  0.000  0.000
Y  0.000  0.000  0.500
P  0.500  0.500  0.244
P  0.500  0.500  0.756

The symmetry is P4/mmm (123). The calculation puts the relative energy among the computed polymorphs at 1.37 eV/f.u. The calculated total energy is -5.3284 eV per atom. The volume is 75.9 Å³ per cell. Its total magnetization is 0.00 μB/atom. The formation energy from the elements comes out at -529 meV/atom.

***

First-principles (PBE) data for an optimized crystal structure of BaNaSnS3, as listed in the Alexandria database.

a = 7.571 Å, b = 4.338 Å, c = 10.291 Å
α = 90.00°, β = 109.40°, γ = 90.00°
Fractional coordinates of all 12 atoms:
Ba  0.018  0.250  0.204
Ba  0.982  0.750  0.796
Na  0.459  0.750  0.106
Na  0.541  0.250  0.894
Sn  0.354  0.750  0.587
Sn  0.646  0.250  0.413
S  0.136  0.250  0.565
S  0.235  0.250  0.988
S  0.358  0.750  0.346
S  0.642  0.250  0.654
S  0.765  0.750  0.012
S  0.864  0.750  0.435

The symmetry is P2_1/m (11). The calculated total energy is -4.3135 eV per atom. The volume is 318.7 Å³ per cell. The uncorrected formation energy is -1.042 eV/atom. Its total magnetization is 0.00 μB/atom.

***

First-principles (PBE) data for an optimized crystal structure of TlZnN2, as listed in the Alexandria database.

a = 6.331 Å, b = 6.331 Å, c = 6.331 Å
α = 32.51°, β = 32.51°, γ = 32.51°
Fractional coordinates of all 4 atoms:
Tl  0.000  0.000  0.000
Zn  0.500  0.500  0.500
N  0.398  0.398  0.398
N  0.602  0.602  0.602

The symmetry is R-3m (166). The calculation puts the relative energy among the computed polymorphs at 0.84 eV/f.u. The calculated total energy is -4.0788 eV per atom. The volume is 65.2 Å³ per cell. The uncorrected formation energy is 0.994 eV/atom. Its total magnetization is 0.06 μB/atom.

***

First-principles (PBE) data for an optimized crystal structure of TbHoPI, as listed in the Alexandria database.

a = 7.795 Å, b = 7.795 Å, c = 7.795 Å
α = 30.12°, β = 30.12°, γ = 30.12°
Fractional coordinates of all 4 atoms:
Tb  0.000  0.000  0.000
Ho  0.207  0.207  0.207
P  0.600  0.600  0.600
I  0.772  0.772  0.772

The symmetry is R3m (160). The calculated total energy is -5.3439 eV per atom. The volume is 105.7 Å³ per cell. The uncorrected formation energy is -1.302 eV/atom. Its total magnetization is 0.00 μB/atom.

***

First-principles (PBE) data for an optimized crystal structure of Tl2GaRe, as listed in the Alexandria database.

a = 4.923 Å, b = 4.923 Å, c = 4.923 Å
α = 60.00°, β = 60.00°, γ = 60.00°
Fractional coordinates of all 4 atoms:
Tl  0.250  0.250  0.250
Tl  0.750  0.750  0.750
Ga  0.000  0.000  0.000
Re  0.500  0.500  0.500

The symmetry is Fm-3m (225). The calculation puts the relative energy among the computed polymorphs at 1.70 eV/f.u. The calculated total energy is -3.9820 eV per atom. The volume is 84.4 Å³ per cell. Its total magnetization is 0.00 μB/atom. The formation energy from the elements comes out at 1070 meV/atom.

***

First-principles (PBE) data for an optimized crystal structure of PrNd3Ag4, as listed in the Alexandria database.

a = 10.689 Å, b = 7.463 Å, c = 5.345 Å
α = 90.00°, β = 90.00°, γ = 90.00°
Fractional coordinates of all 16 atoms:
Pr  0.000  0.000  0.000
Pr  0.500  0.000  0.000
Nd  0.000  0.500  0.000
Nd  0.250  0.000  0.499
Nd  0.250  0.500  0.499
Nd  0.500  0.500  0.000
Nd  0.750  0.000  0.501
Nd  0.750  0.500  0.501
Ag  0.000  0.252  0.500
Ag  0.000  0.748  0.500
Ag  0.250  0.253  0.999
Ag  0.250  0.747  0.999
Ag  0.500  0.252  0.500
Ag  0.500  0.748  0.500
Ag  0.750  0.253  0.001
Ag  0.750  0.747  0.001

The symmetry is Pmma (51). The calculated total energy is -4.0629 eV per atom. The volume is 426.4 Å³ per cell. Its total magnetization is 0.00 μB/atom. The formation energy from the elements comes out at -252 meV/atom.

***

Q: Look up the calculated total energy of the ninth one.
A: -4.0788 eV per atom

***

Q: The highest volume belongs to which entry?
A: NaSrNpI6

***

Q: Which formula does entry 10 have?
A: TbHoPI

***

Q: volume of number 12 (PrNd3Ag4)?
A: 426.4 Å³ per cell